DFT (PBE-GGA) results for an optimized crystal structure of NaDyCdPd.

Cell and atoms, written as CIF:
```
data_NaDyCdPd
_chemical_formula_sum 'Na1 Dy1 Cd1 Pd1'
_cell_length_a 5.0272
_cell_length_b 5.0272
_cell_length_c 5.0272
_cell_angle_alpha 60.00
_cell_angle_beta 60.00
_cell_angle_gamma 60.00
_space_group_name_H-M_alt 'P 1'
_space_group_IT_number 1
_space_group_name_Hall 'P 1'
loop_
_atom_site_label
_atom_site_type_symbol
_atom_site_fract_x
_atom_site_fract_y
_atom_site_fract_z
Pd1 Pd 0.7500 0.7500 0.7500
Dy1 Dy 0.0000 0.0000 0.0000
Cd1 Cd 0.2500 0.2500 0.2500
Na1 Na 0.5000 0.5000 0.5000
```

Calculated values
DFT formation energy in eV per atom: -0.28
Symmetry: F-43m (216)

DFT (PBE-GGA) results for an optimized crystal structure of NaPrDyCd.

Cell and atoms, written as CIF:
```
data_NaPrDyCd
_chemical_formula_sum 'Na1 Pr1 Dy1 Cd1'
_cell_length_a 5.4938
_cell_length_b 5.4938
_cell_length_c 5.4938
_cell_angle_alpha 60.00
_cell_angle_beta 60.00
_cell_angle_gamma 60.00
_space_group_name_H-M_alt 'P 1'
_space_group_IT_number 1
_space_group_name_Hall 'P 1'
loop_
_atom_site_label
_atom_site_type_symbol
_atom_site_fract_x
_atom_site_fract_y
_atom_site_fract_z
Dy1 Dy 0.5000 0.5000 0.5000
Pr1 Pr 0.0000 0.0000 0.0000
Na1 Na 0.2500 0.2500 0.2500
Cd1 Cd 0.7500 0.7500 0.7500
```

Calculated values
DFT formation energy in eV per atom: 0.02
Symmetry: F-43m (216)

DFT (PBE-GGA) results for an optimized crystal structure of NaSmDyCd.

Cell and atoms, written as CIF:
```
data_NaSmDyCd
_chemical_formula_sum 'Na1 Sm1 Dy1 Cd1'
_cell_length_a 5.4423
_cell_length_b 5.4423
_cell_length_c 5.4423
_cell_angle_alpha 60.00
_cell_angle_beta 60.00
_cell_angle_gamma 60.00
_space_group_name_H-M_alt 'P 1'
_space_group_IT_number 1
_space_group_name_Hall 'P 1'
loop_
_atom_site_label
_atom_site_type_symbol
_atom_site_fract_x
_atom_site_fract_y
_atom_site_fract_z
Na1 Na 0.7500 0.7500 0.7500
Dy1 Dy 0.0000 0.0000 0.0000
Sm1 Sm 0.5000 0.5000 0.5000
Cd1 Cd 0.2500 0.2500 0.2500
```

Calculated values
DFT formation energy in eV per atom: 0.03
Symmetry: F-43m (216)

DFT (PBE-GGA) results for an optimized crystal structure of NaDyCdSn.

Cell and atoms, written as CIF:
```
data_NaDyCdSn
_chemical_formula_sum 'Na1 Dy1 Cd1 Sn1'
_cell_length_a 5.2613
_cell_length_b 5.2613
_cell_length_c 5.2613
_cell_angle_alpha 60.00
_cell_angle_beta 60.00
_cell_angle_gamma 60.00
_space_group_name_H-M_alt 'P 1'
_space_group_IT_number 1
_space_group_name_Hall 'P 1'
loop_
_atom_site_label
_atom_site_type_symbol
_atom_site_fract_x
_atom_site_fract_y
_atom_site_fract_z
Sn1 Sn 0.5000 0.5000 0.5000
Na1 Na 0.7500 0.7500 0.7500
Cd1 Cd 0.0000 0.0000 0.0000
Dy1 Dy 0.2500 0.2500 0.2500
```

Calculated values
DFT formation energy in eV per atom: -0.34
Symmetry: F-43m (216)

DFT (PBE-GGA) results for an optimized crystal structure of DyNbCd2O6.

Cell and atoms, written as CIF:
```
data_DyNbCd2O6
_chemical_formula_sum 'Dy2 Nb2 Cd4 O12'
_cell_length_a 5.6298
_cell_length_b 5.7699
_cell_length_c 8.2132
_cell_angle_alpha 90.00
_cell_angle_beta 90.48
_cell_angle_gamma 90.00
_space_group_name_H-M_alt 'P 1'
_space_group_IT_number 1
_space_group_name_Hall 'P 1'
loop_
_atom_site_label
_atom_site_type_symbol
_atom_site_fract_x
_atom_site_fract_y
_atom_site_fract_z
O1 O 0.3892 0.9381 0.7349
O2 O 0.1995 0.1720 0.4455
O3 O 0.8892 0.5619 0.2349
O4 O 0.1651 0.2022 0.0665
O5 O 0.6651 0.2978 0.5665
O6 O 0.8005 0.8280 0.5545
O7 O 0.3349 0.7022 0.4335
O8 O 0.8349 0.7978 0.9335
O9 O 0.6108 0.0619 0.2651
O10 O 0.6995 0.3280 0.9455
O11 O 0.3005 0.6720 0.0545
O12 O 0.1108 0.4381 0.7651
Dy1 Dy 0.0000 0.5000 0.5000
Dy2 Dy 0.5000 0.0000 0.0000
Nb1 Nb 0.5000 0.0000 0.5000
Nb2 Nb 0.0000 0.5000 0.0000
Cd1 Cd 0.5042 0.5424 0.7511
Cd2 Cd 0.9958 0.0424 0.7489
Cd3 Cd 0.4958 0.4576 0.2489
Cd4 Cd 0.0042 0.9576 0.2511
```

Calculated values
E_form (uncorrected) in meV per atom: -2202
Symmetry: P2_1/c (14)

DFT (PBE-GGA) results for an optimized crystal structure of NdDy4Cd5.

Cell and atoms, written as CIF:
```
data_NdDy4Cd5
_chemical_formula_sum 'Nd1 Dy4 Cd5'
_cell_length_a 3.7555
_cell_length_b 3.7555
_cell_length_c 18.9383
_cell_angle_alpha 90.00
_cell_angle_beta 90.00
_cell_angle_gamma 90.00
_space_group_name_H-M_alt 'P 1'
_space_group_IT_number 1
_space_group_name_Hall 'P 1'
loop_
_atom_site_label
_atom_site_type_symbol
_atom_site_fract_x
_atom_site_fract_y
_atom_site_fract_z
Dy1 Dy 0.0000 0.0000 0.5982
Dy2 Dy 0.0000 0.0000 0.4018
Dy3 Dy 0.0000 0.0000 0.2046
Dy4 Dy 0.0000 0.0000 0.7954
Cd1 Cd 0.5000 0.5000 0.5000
Cd2 Cd 0.5000 0.5000 0.8917
Cd3 Cd 0.5000 0.5000 0.3030
Cd4 Cd 0.5000 0.5000 0.1083
Cd5 Cd 0.5000 0.5000 0.6970
Nd1 Nd 0.0000 0.0000 0.0000
```

Calculated values
DFT formation energy in eV per atom: -0.32
Symmetry: P4/mmm (123)

DFT (PBE-GGA) results for an optimized crystal structure of NdDy2Cd.

Cell and atoms, written as CIF:
```
data_NdDy2Cd
_chemical_formula_sum 'Nd1 Dy2 Cd1'
_cell_length_a 3.8050
_cell_length_b 5.5248
_cell_length_c 6.6503
_cell_angle_alpha 114.55
_cell_angle_beta 106.62
_cell_angle_gamma 90.00
_space_group_name_H-M_alt 'P 1'
_space_group_IT_number 1
_space_group_name_Hall 'P 1'
loop_
_atom_site_label
_atom_site_type_symbol
_atom_site_fract_x
_atom_site_fract_y
_atom_site_fract_z
Dy1 Dy 0.2241 0.2242 0.4483
Dy2 Dy 0.7759 0.7758 0.5517
Nd1 Nd 0.0000 0.5000 0.0000
Cd1 Cd 0.5000 0.0000 0.0000
```

Calculated values
DFT formation energy in eV per atom: -0.15
Symmetry: Immm (71)

DFT (PBE-GGA) results for an optimized crystal structure of Nd3DyCd3.

Cell and atoms, written as CIF:
```
data_Nd3DyCd3
_chemical_formula_sum 'Nd6 Dy2 Cd6'
_cell_length_a 7.6702
_cell_length_b 7.6702
_cell_length_c 7.2410
_cell_angle_alpha 90.01
_cell_angle_beta 90.01
_cell_angle_gamma 88.46
_space_group_name_H-M_alt 'P 1'
_space_group_IT_number 1
_space_group_name_Hall 'P 1'
loop_
_atom_site_label
_atom_site_type_symbol
_atom_site_fract_x
_atom_site_fract_y
_atom_site_fract_z
Nd1 Nd 0.7354 0.2646 0.5000
Nd2 Nd 0.7476 0.7476 0.5000
Nd3 Nd 0.2524 0.2524 0.5000
Nd4 Nd 0.2646 0.7354 0.5000
Nd5 Nd 0.2670 0.7330 0.0000
Nd6 Nd 0.7330 0.2670 0.0000
Cd1 Cd 0.5000 0.0000 0.7563
Cd2 Cd 0.5000 0.0000 0.2437
Cd3 Cd 0.0000 0.5000 0.7563
Cd4 Cd 0.0000 0.0000 0.2439
Cd5 Cd 0.0000 0.0000 0.7561
Cd6 Cd 0.0000 0.5000 0.2437
Dy1 Dy 0.2494 0.2494 0.0000
Dy2 Dy 0.7506 0.7506 0.0000
```

Calculated values
DFT formation energy in eV per atom: -0.15
Symmetry: Cmmm (65)

DFT (PBE-GGA) results for an optimized crystal structure of Nd5Dy3Cd.

Cell and atoms, written as CIF:
```
data_Nd5Dy3Cd
_chemical_formula_sum 'Nd10 Dy6 Cd2'
_cell_length_a 10.0804
_cell_length_b 10.0804
_cell_length_c 9.2685
_cell_angle_alpha 58.14
_cell_angle_beta 58.14
_cell_angle_gamma 71.36
_space_group_name_H-M_alt 'P 1'
_space_group_IT_number 1
_space_group_name_Hall 'P 1'
loop_
_atom_site_label
_atom_site_type_symbol
_atom_site_fract_x
_atom_site_fract_y
_atom_site_fract_z
Nd1 Nd 0.9331 0.4016 0.3584
Nd2 Nd 0.7429 0.2571 0.0000
Nd3 Nd 0.4488 0.4488 0.7530
Nd4 Nd 0.2571 0.7429 0.0000
Nd5 Nd 0.5984 0.0669 0.6416
Nd6 Nd 0.0669 0.5984 0.6416
Nd7 Nd 0.1852 0.1852 0.0591
Nd8 Nd 0.4016 0.9331 0.3584
Nd9 Nd 0.5512 0.5512 0.2470
Nd10 Nd 0.8148 0.8148 0.9409
Cd1 Cd 0.8694 0.8694 0.4041
Cd2 Cd 0.1306 0.1306 0.5959
Dy1 Dy 0.6443 0.6443 0.8003
Dy2 Dy 0.0000 0.0000 0.0000
Dy3 Dy 0.3557 0.3557 0.1997
Dy4 Dy 0.2981 0.2981 0.6203
Dy5 Dy 0.7019 0.7019 0.3797
Dy6 Dy 0.0000 0.0000 0.5000
```

Calculated values
DFT formation energy in eV per atom: 0.45
Symmetry: C2/m (12)

DFT (PBE-GGA) results for an optimized crystal structure of Nd4DyCd5.

Cell and atoms, written as CIF:
```
data_Nd4DyCd5
_chemical_formula_sum 'Nd4 Dy1 Cd5'
_cell_length_a 3.8246
_cell_length_b 3.8246
_cell_length_c 19.2631
_cell_angle_alpha 90.00
_cell_angle_beta 90.00
_cell_angle_gamma 90.00
_space_group_name_H-M_alt 'P 1'
_space_group_IT_number 1
_space_group_name_Hall 'P 1'
loop_
_atom_site_label
_atom_site_type_symbol
_atom_site_fract_x
_atom_site_fract_y
_atom_site_fract_z
Cd1 Cd 0.5000 0.5000 0.5000
Cd2 Cd 0.5000 0.5000 0.2976
Cd3 Cd 0.5000 0.5000 0.9076
Cd4 Cd 0.5000 0.5000 0.7024
Cd5 Cd 0.5000 0.5000 0.0924
Nd1 Nd 0.0000 0.0000 0.6016
Nd2 Nd 0.0000 0.0000 0.1957
Nd3 Nd 0.0000 0.0000 0.3984
Nd4 Nd 0.0000 0.0000 0.8043
Dy1 Dy 0.0000 0.0000 0.0000
```

Calculated values
DFT formation energy in eV per atom: -0.32
Symmetry: P4/mmm (123)

DFT (PBE-GGA) results for an optimized crystal structure of Nd3DyCd.

Cell and atoms, written as CIF:
```
data_Nd3DyCd
_chemical_formula_sum 'Nd6 Dy2 Cd2'
_cell_length_a 3.8475
_cell_length_b 11.2442
_cell_length_c 10.6616
_cell_angle_alpha 90.00
_cell_angle_beta 90.00
_cell_angle_gamma 133.23
_space_group_name_H-M_alt 'P 1'
_space_group_IT_number 1
_space_group_name_Hall 'P 1'
loop_
_atom_site_label
_atom_site_type_symbol
_atom_site_fract_x
_atom_site_fract_y
_atom_site_fract_z
Dy1 Dy 0.8676 0.0588 0.2500
Dy2 Dy 0.1324 0.9412 0.7500
Nd1 Nd 0.2633 0.7565 0.9999
Nd2 Nd 0.6481 0.4492 0.2500
Nd3 Nd 0.7367 0.2435 0.4999
Nd4 Nd 0.2633 0.7565 0.5001
Nd5 Nd 0.3519 0.5508 0.7500
Nd6 Nd 0.7367 0.2435 0.0001
Cd1 Cd 0.2233 0.2367 0.7500
Cd2 Cd 0.7767 0.7633 0.2500
```

Calculated values
DFT formation energy in eV per atom: 0.00
Symmetry: Pmmn (59)

DFT (PBE-GGA) results for an optimized crystal structure of Nd2Dy2Cd3.

Cell and atoms, written as CIF:
```
data_Nd2Dy2Cd3
_chemical_formula_sum 'Nd2 Dy2 Cd3'
_cell_length_a 5.3589
_cell_length_b 5.3698
_cell_length_c 8.8928
_cell_angle_alpha 89.92
_cell_angle_beta 107.49
_cell_angle_gamma 120.03
_space_group_name_H-M_alt 'P 1'
_space_group_IT_number 1
_space_group_name_Hall 'P 1'
loop_
_atom_site_label
_atom_site_type_symbol
_atom_site_fract_x
_atom_site_fract_y
_atom_site_fract_z
Dy1 Dy 0.2626 0.1312 0.3916
Dy2 Dy 0.7374 0.8688 0.6084
Nd1 Nd 0.7748 0.3875 0.1608
Nd2 Nd 0.2252 0.6125 0.8392
Cd1 Cd 0.5075 0.2535 0.7631
Cd2 Cd 0.0000 0.0000 0.0000
Cd3 Cd 0.4925 0.7465 0.2369
```

Calculated values
DFT formation energy in eV per atom: -0.14
Symmetry: P-1 (2)

| no. | calculated total energy (eV/atom) |
| --- | --- |
| 1 | -3.28 |
| 2 | -2.88 |
| 3 | -2.86 |
| 4 | -3.05 |
| 5 | -6.83 |
| 6 | -3.09 |
| 7 | -3.87 |
| 8 | -3.25 |
| 9 | -3.83 |
| 10 | -3.14 |
| 11 | -3.96 |
| 12 | -3.21 |